Computed, not measured: crystalline Li2In2Pd at its relaxed geometry at the PBE level of DFT.

Properties
The spin magnetization comes out at 0.000 μB per formula unit. For the volume, the calculation gives 18.18 Å³/atom. The calculation puts the energy relative to the elements at -261 meV per atom.

abc: 7.348 7.348 3.366
angles: 90.00 90.00 90.00
Element x y z (fractional)
In: 0.852 0.648 0.000
In: 0.352 0.852 0.000
In: 0.148 0.352 0.000
Li: 0.844 0.344 0.500
In: 0.648 0.148 0.000
Li: 0.656 0.844 0.500
Li: 0.344 0.156 0.500
Pd: 0.000 0.000 0.000
Li: 0.156 0.656 0.500
Pd: 0.500 0.500 0.000